Entry from Alexandria: BaScGa3 after structural relaxation (PBEsol).

Values from the calculation:
- electronic total energy (eV/atom) = -3.83
- calculated volume (Å³/atom) = 28.01
- energy relative to the lowest polymorph listed for this composition (meV/atom) = 0
- space group = No. 221
- DOS at the Fermi energy (states/eV/cell) = 4.30
- formation enthalpy at 0 K (meV/atom) = -80

Cell lengths 5.1931, 5.1931, 5.1931 Å; angles 90.00, 90.00, 90.00 degrees
Last column: nearest neighbours and their distance in Å.
Positions (direct):
Ga 0.0000 0.5000 0.0000  2 Sc 2.60
Ga 0.5000 0.0000 0.0000  2 Sc 2.60
Sc 0.0000 0.0000 0.0000  6 Ga 2.60
Ba 0.5000 0.5000 0.5000  12 Ga 3.67
Ga 0.0000 0.0000 0.5000  2 Sc 2.60